Compound: NaGaGe
Source: the Alexandria database
Functional: PBE-GGA
Structure: relaxed

The structure in POSCAR format:
```
NaGaGe
1.0
5.8968 0.0042 0.0077
-0.2161 6.2181 -0.0001
1.5220 1.1809 3.8155
Ga Ge Na
2 2 2
direct
0.4385 0.8992 0.2889 Ga
0.3196 0.3093 0.8405 Ga
0.5516 0.6981 0.8217 Ge
0.6042 0.3041 0.2200 Ge
0.9368 0.1325 0.5967 Na
0.9880 0.6775 0.1589 Na
```

Computed properties:
Its final energy is -3.007 eV/atom. As for the symmetry: No. 1. The total moment is 0.0 Bohr magnetons per cell.


Compound: NaGaGe
Source: the Alexandria database
Functional: PBE-GGA
Structure: relaxed

The structure in POSCAR format:
```
NaGaGe
1.0
-5.3561 4.6390 3.5673
-1.7282 1.0203 7.6682
2.4692 5.4834 2.6286
Ge Na Ga
4 4 4
direct
0.7056 0.2944 0.2944 Ge
0.0444 0.4556 0.4556 Ge
0.4556 0.0444 0.0444 Ge
0.2944 0.7056 0.7056 Ge
0.1166 0.1166 0.8834 Na
0.6334 0.6334 0.8666 Na
0.8834 0.8834 0.1166 Na
0.8666 0.8666 0.6334 Na
0.6382 0.6382 0.3618 Ga
0.3882 0.3882 0.1118 Ga
0.3618 0.3618 0.6382 Ga
0.1118 0.1118 0.3882 Ga
```

Computed properties:
Its final energy is -2.982 eV/atom. As for the symmetry: No. 70. The total moment is 0.0 Bohr magnetons per cell.


Compound: Na2Ga2Ge
Source: the Alexandria database
Functional: PBE-GGA
Structure: relaxed

The structure in POSCAR format:
```
Na2Ga2Ge
1.0
6.1890 0.0000 0.0000
-3.0945 4.9696 0.3052
0.0000 -1.7974 7.5941
Na Ge Ga
4 2 4
direct
0.7721 0.2859 0.6412 Na
0.2279 0.7141 0.3588 Na
0.5138 0.2859 0.1412 Na
0.4862 0.7141 0.8588 Na
0.0766 0.0000 0.7500 Ge
0.9234 0.0000 0.2500 Ge
0.7141 0.7154 0.4957 Ga
0.0013 0.7154 0.9957 Ga
0.2859 0.2846 0.5043 Ga
0.9987 0.2846 0.0043 Ga
```

Computed properties:
For the energy above the most stable polymorph in this dataset, the calculation gives 0.0 meV/atom. Its final energy is -2.751 eV/atom. As for the symmetry: No. 15. The total moment is 0.0 Bohr magnetons per cell.


Compound: NaGa3Ge
Source: the Alexandria database
Functional: PBE-GGA
Structure: relaxed

The structure in POSCAR format:
```
NaGa3Ge
1.0
-1.7937 -1.1071 3.8907
3.3866 -2.7562 0.7172
1.9557 5.9454 0.1028
Ga Ge Na
3 1 1
direct
0.1479 0.6486 0.2970 Ga
0.0171 0.0171 0.0330 Ga
0.6486 0.1479 0.2970 Ga
0.7841 0.7841 0.5696 Ge
0.3992 0.3992 0.7974 Na
```

Computed properties:
For the energy above the most stable polymorph in this dataset, the calculation gives 0.0 meV/atom. Its final energy is -3.126 eV/atom. As for the symmetry: No. 8. The total moment is 0.0 Bohr magnetons per cell.


Compound: NaGaGe
Source: the Alexandria database
Functional: PBE-GGA
Structure: relaxed

The structure in POSCAR format:
```
NaGaGe
1.0
1.9506 -5.7646 0.0000
1.9506 5.7646 0.0000
0.0000 0.0000 5.9981
Ge Ga Na
2 2 2
direct
0.5905 0.4095 0.7500 Ge
0.4095 0.5905 0.2500 Ge
0.0000 0.0000 0.5000 Ga
0.0000 0.0000 0.0000 Ga
0.6985 0.3015 0.2500 Na
0.3015 0.6985 0.7500 Na
```

Computed properties:
Its final energy is -2.985 eV/atom. As for the symmetry: No. 63. The total moment is 0.0 Bohr magnetons per cell.


Compound: NaGaGe
Source: the Alexandria database
Functional: PBE-GGA
Structure: relaxed

The structure in POSCAR format:
```
NaGaGe
1.0
6.3444 -0.0021 -0.0131
1.9702 5.4120 -0.0346
-1.3730 -0.5304 3.9678
Ge Na Ga
2 2 2
direct
0.7130 0.8722 0.7068 Ge
0.2870 0.1278 0.2932 Ge
0.1386 0.7058 0.3907 Na
0.8614 0.2942 0.6093 Na
0.5619 0.7048 0.0763 Ga
0.4381 0.2952 0.9237 Ga
```

Computed properties:
Its final energy is -3.099 eV/atom. As for the symmetry: No. 2. The total moment is 0.0 Bohr magnetons per cell.


Compound: Na2Ga5Ge3
Source: the Alexandria database
Functional: PBE-GGA
Structure: relaxed

The structure in POSCAR format:
```
Na2Ga5Ge3
1.0
6.1820 0.0000 0.0000
3.0910 8.4337 0.2496
3.0910 1.5475 8.2942
Ge Na Ga
6 4 10
direct
0.6217 0.5142 0.2425 Ge
0.1217 0.2425 0.5142 Ge
0.8783 0.7575 0.4858 Ge
0.2500 0.0000 0.0000 Ge
0.3783 0.4858 0.7575 Ge
0.7500 0.0000 0.0000 Ge
0.8759 0.3698 0.8785 Na
0.1241 0.6302 0.1215 Na
0.6241 0.1215 0.6302 Na
0.3759 0.8785 0.3698 Na
0.8724 0.0009 0.2543 Ga
0.0072 0.7428 0.7428 Ga
0.1276 0.9991 0.7457 Ga
0.3724 0.2543 0.0009 Ga
0.7500 0.5000 0.5000 Ga
0.2500 0.5000 0.5000 Ga
0.4928 0.2572 0.2572 Ga
0.5072 0.7428 0.7428 Ga
0.9928 0.2572 0.2572 Ga
0.6276 0.7457 0.9991 Ga
```

Computed properties:
Its final energy is -3.262 eV/atom. As for the symmetry: No. 72. The total moment is 0.0 Bohr magnetons per cell.


Compound: Na2Ga3Ge
Source: the Alexandria database
Functional: PBE-GGA
Structure: relaxed

The structure in POSCAR format:
```
Na2Ga3Ge
1.0
-4.3563 -0.1967 -0.2396
-2.0624 -5.0305 1.8255
-2.5450 1.7491 5.0342
Ge Na Ga
1 2 3
direct
0.1524 0.4131 0.2820 Ge
0.5726 0.1790 0.6758 Na
0.4279 0.8218 0.3224 Na
0.8432 0.2343 0.0793 Ga
0.1585 0.7659 0.9170 Ga
0.8454 0.5858 0.7234 Ga
```

Computed properties:
Its final energy is -2.885 eV/atom. As for the symmetry: No. 8. The total moment is 0.0 Bohr magnetons per cell.


> Which value of total moment does entry 2 give?

0.0 Bohr magnetons per cell